<one>
The following is a GGA-PBE calculation of crystalline Al2TeI2 at its relaxed geometry, from the Alexandria database.

Values from the calculation:
Crystal system = tetragonal
Total magnetization = 0.00 μB per formula unit

abc: 8.7926 8.7926 4.3762
angles: 90.00 90.00 90.00
Space group P4/mbm (No. 127)
Symmetry-distinct sites (fractional):
Al  0.1534  0.3466  0.0000 [4 per cell]
Te  0.0000  0.0000  0.5000 [2 per cell]
I  0.1657  0.6657  0.5000 [4 per cell]


<two>
The following is a GGA-PBE calculation of crystalline Al2TeI2 at its relaxed geometry, from the Alexandria database.

Values from the calculation:
Crystal system = tetragonal
Total magnetization = 0.00 μB per formula unit

abc: 5.3104 5.3104 11.3050
angles: 90.00 90.00 90.00
Space group I4/mmm (No. 139)
Symmetry-distinct sites (fractional):
Al  0.0000  0.5000  0.2500 [4 per cell]
Te  0.0000  0.0000  0.0000 [2 per cell]
I  0.0000  0.0000  0.3436 [4 per cell]


Tell me which of them is the most stable. Sure, it is <two>.


<one>
The following is a GGA-PBE calculation of crystalline TiAlTe2I at its relaxed geometry, from the Alexandria database.

Values from the calculation:
Crystal system = tetragonal
Total magnetization = 0.03 μB per formula unit

abc: 5.3426 5.3426 5.3437
angles: 90.00 90.00 90.00
Space group P4/mmm (No. 123)
Symmetry-distinct sites (fractional):
Ti  0.0000  0.0000  0.0000 [1 per cell]
Al  0.5000  0.5000  0.5000 [1 per cell]
Te  0.0000  0.5000  0.5000 [2 per cell]
I  0.5000  0.5000  0.0000 [1 per cell]


<two>
The following is a GGA-PBE calculation of crystalline TiAlTe2I at its relaxed geometry, from the Alexandria database.

Values from the calculation:
Crystal system = tetragonal
Total magnetization = 0.00 μB per formula unit

abc: 5.3314 5.3314 5.7515
angles: 90.00 90.00 90.00
Space group P4/mmm (No. 123)
Symmetry-distinct sites (fractional):
Ti  0.0000  0.0000  0.0000 [1 per cell]
Al  0.5000  0.5000  0.5000 [1 per cell]
Te  0.0000  0.5000  0.0000 [2 per cell]
I  0.0000  0.0000  0.5000 [1 per cell]


Tell me which of them is the most stable. Sure, it is <two>.


<one>
The following is a GGA-PBE calculation of crystalline TiAlTeI2 at its relaxed geometry, from the Alexandria database.

Values from the calculation:
Crystal system = tetragonal
Total magnetization = 1.00 μB per formula unit

abc: 5.6858 5.6858 5.3675
angles: 90.00 90.00 90.00
Space group P4/mmm (No. 123)
Symmetry-distinct sites (fractional):
Ti  0.0000  0.0000  0.0000 [1 per cell]
Al  0.5000  0.5000  0.5000 [1 per cell]
Te  0.0000  0.0000  0.5000 [1 per cell]
I  0.0000  0.5000  0.0000 [2 per cell]


<two>
The following is a GGA-PBE calculation of crystalline TiAlTeI2 at its relaxed geometry, from the Alexandria database.

Values from the calculation:
Crystal system = tetragonal
Total magnetization = 0.09 μB per formula unit

abc: 5.4129 5.4129 5.5397
angles: 90.00 90.00 90.00
Space group P4/mmm (No. 123)
Symmetry-distinct sites (fractional):
Ti  0.0000  0.0000  0.0000 [1 per cell]
Al  0.5000  0.5000  0.5000 [1 per cell]
Te  0.5000  0.5000  0.0000 [1 per cell]
I  0.0000  0.5000  0.5000 [2 per cell]


Tell me which of them is the most stable. Sure, it is <one>.


<one>
The following is a GGA-PBE calculation of crystalline AlTlTeI2 at its relaxed geometry, from the Alexandria database.

Values from the calculation:
Crystal system = tetragonal
Total magnetization = 0.20 μB per formula unit

abc: 6.1604 6.1604 5.7965
angles: 90.00 90.00 90.00
Space group P4/mmm (No. 123)
Symmetry-distinct sites (fractional):
Al  0.0000  0.0000  0.0000 [1 per cell]
Tl  0.5000  0.5000  0.5000 [1 per cell]
Te  0.5000  0.5000  0.0000 [1 per cell]
I  0.0000  0.5000  0.5000 [2 per cell]


<two>
The following is a GGA-PBE calculation of crystalline AlTlTeI2 at its relaxed geometry, from the Alexandria database.

Values from the calculation:
Crystal system = tetragonal
Total magnetization = 0.00 μB per formula unit

abc: 5.7190 5.7190 5.4442
angles: 90.00 90.00 90.00
Space group P4/mmm (No. 123)
Symmetry-distinct sites (fractional):
Al  0.0000  0.0000  0.0000 [1 per cell]
Tl  0.5000  0.5000  0.5000 [1 per cell]
Te  0.0000  0.0000  0.5000 [1 per cell]
I  0.0000  0.5000  0.0000 [2 per cell]


Tell me which of them is the most stable. Sure, it is <two>.


<one>
The following is a GGA-PBE calculation of crystalline Ti3AlI at its relaxed geometry, from the Alexandria database.

Values from the calculation:
Crystal system = cubic
Total magnetization = 4.35 μB per formula unit

abc: 4.9064 4.9064 4.9064
angles: 90.00 90.00 90.00
Space group Pm-3m (No. 221)
Symmetry-distinct sites (fractional):
Ti  0.0000  0.0000  0.5000 [3 per cell]
Al  0.0000  0.0000  0.0000 [1 per cell]
I  0.5000  0.5000  0.5000 [1 per cell]


<two>
The following is a GGA-PBE calculation of crystalline Ti3AlI at its relaxed geometry, from the Alexandria database.

Values from the calculation:
Crystal system = cubic
Total magnetization = 3.57 μB per formula unit

abc: 4.9525 4.9525 4.9525
angles: 90.00 90.00 90.00
Space group Pm-3m (No. 221)
Symmetry-distinct sites (fractional):
Ti  0.0000  0.0000  0.5000 [3 per cell]
Al  0.5000  0.5000  0.5000 [1 per cell]
I  0.0000  0.0000  0.0000 [1 per cell]


Tell me which of them is the most stable. Sure, it is <one>.


<one>
The following is a GGA-PBE calculation of crystalline Ti2AlI at its relaxed geometry, from the Alexandria database.

Values from the calculation:
Crystal system = cubic
Total magnetization = 1.57 μB per formula unit

abc: 6.7288 6.7288 6.7288
angles: 90.00 90.00 90.00
Space group Fm-3m (No. 225)
Symmetry-distinct sites (fractional):
Ti  0.2500  0.2500  0.2500 [8 per cell]
Al  0.0000  0.0000  0.0000 [4 per cell]
I  0.0000  0.0000  0.5000 [4 per cell]


<two>
The following is a GGA-PBE calculation of crystalline Ti2AlI at its relaxed geometry, from the Alexandria database.

Values from the calculation:
Crystal system = tetragonal
Total magnetization = 0.00 μB per formula unit

abc: 4.1274 4.1274 19.4948
angles: 90.00 90.00 90.00
Space group I-42d (No. 122)
Symmetry-distinct sites (fractional):
Ti  0.2387  0.2500  0.1250 [8 per cell]
Al  0.0000  0.0000  0.0000 [4 per cell]
I  0.0000  0.0000  0.5000 [4 per cell]


Tell me which of them is the most stable. Sure, it is <one>.